Entry 1:
ErTlV2O8 | Alexandria via LeMat-Bulk | GGA+U | relaxed; E = -85.6 eV per formula unit; volume = 164 Å³/cell; mass density = 6.1 g cm⁻³
1.0
-3.571 3.571 3.207
3.571 -3.571 3.207
3.571 3.571 -3.207
Er Tl V O
1 1 2 8
Direct
0.000 0.000 0.000
0.250 0.750 0.500
0.500 0.500 0.000
0.750 0.250 0.500
0.322 0.137 0.815
0.322 0.507 0.185
0.391 0.082 0.308
0.493 0.678 0.815
0.774 0.082 0.692
0.863 0.678 0.185
0.918 0.226 0.308
0.918 0.609 0.692

---

Entry 2:
Er2Tl2VO6 | Alexandria via LeMat-Bulk | GGA+U | relaxed; E = -76.0 eV per formula unit; volume = 185 Å³/cell; mass density = 8.0 g cm⁻³
1.0
2.852 -4.956 0.000
2.852 4.956 0.000
-1.634 0.000 6.555
Er Tl V O
2 2 1 6
Direct
0.167 0.833 0.000
0.833 0.167 0.000
0.336 0.664 0.500
0.664 0.336 0.500
0.500 0.500 0.000
0.146 0.456 0.839
0.257 0.257 0.159
0.456 0.146 0.839
0.544 0.854 0.161
0.743 0.743 0.841
0.854 0.544 0.161

---

Entry 3:
Er3Tl3VO8 | Alexandria via LeMat-Bulk | GGA+U | relaxed; E = -102.4 eV per formula unit; volume = 254 Å³/cell; mass density = 8.5 g cm⁻³
1.0
3.350 1.934 6.539
-3.350 1.934 6.539
0.000 -3.868 6.539
Er Tl V O
3 3 1 8
Direct
0.000 0.500 0.500
0.500 0.000 0.500
0.500 0.500 0.000
0.000 0.000 0.500
0.000 0.500 0.000
0.500 0.000 0.000
0.000 0.000 0.000
0.204 0.204 0.752
0.204 0.752 0.204
0.248 0.796 0.796
0.277 0.277 0.277
0.723 0.723 0.723
0.752 0.204 0.204
0.796 0.248 0.796
0.796 0.796 0.248

---

Entry 4:
ErTl2WO8 | Alexandria via LeMat-Bulk | GGA+U | relaxed; E = -75.3 eV per formula unit; volume = 173 Å³/cell; mass density = 8.5 g cm⁻³
1.0
3.550 -3.643 0.000
3.550 3.643 0.000
0.000 0.000 6.707
Er Tl W O
1 2 1 8
Direct
0.000 0.000 0.000
0.500 0.500 0.252
0.500 0.500 0.748
0.000 0.000 0.500
0.178 0.822 0.284
0.178 0.822 0.716
0.281 0.281 0.500
0.304 0.304 0.000
0.696 0.696 0.000
0.719 0.719 0.500
0.822 0.178 0.284
0.822 0.178 0.716

---

Entry 5:
Er2TlWO8 | Alexandria via LeMat-Bulk | GGA+U | relaxed; E = -85.4 eV per formula unit; volume = 172 Å³/cell; mass density = 8.2 g cm⁻³
1.0
3.421 -3.568 0.000
3.421 3.568 0.000
0.000 0.000 7.036
Er Tl W O
2 1 1 8
Direct
0.000 0.000 0.249
0.000 0.000 0.751
0.500 0.500 0.500
0.500 0.500 0.000
0.198 0.198 0.500
0.214 0.214 0.000
0.311 0.689 0.200
0.311 0.689 0.800
0.689 0.311 0.200
0.689 0.311 0.800
0.786 0.786 0.000
0.802 0.802 0.500

---

Entry 6:
ErTl3W2O9 | Alexandria via LeMat-Bulk | GGA+U | relaxed; E = -99.2 eV per formula unit; volume = 217 Å³/cell; mass density = 9.9 g cm⁻³
1.0
5.874 0.000 0.000
-2.937 5.087 0.000
0.000 0.000 7.256
Er Tl W O
1 3 2 9
Direct
0.000 0.000 0.000
0.000 0.000 0.500
0.333 0.667 0.168
0.667 0.333 0.832
0.333 0.667 0.665
0.667 0.333 0.335
0.000 0.500 0.500
0.178 0.357 0.811
0.178 0.822 0.811
0.357 0.178 0.189
0.500 0.000 0.500
0.500 0.500 0.500
0.643 0.822 0.811
0.822 0.178 0.189
0.822 0.643 0.189

---

- Look up the mass density of the first one.
  6.1 g cm⁻³

---

- Which value of volume does entry 5 give?
  172 Å³/cell